Entry 1:
First-principles (PBE-GGA) data for KMgGa2Rh after structural relaxation, as listed in Alexandria via LeMat-Bulk.

Cell lengths 4.862, 4.862, 5.097 Å; angles 90.00, 90.00, 90.00 degrees
Element x y z (fractional)
K: 0.500 0.500 0.500
Rh: 0.000 0.000 0.000
Mg: 0.000 0.000 0.500
Ga: 0.000 0.500 0.000
Ga: 0.500 0.000 0.000

Energy of formation   -156 kJ/mol of formula units

---

Entry 2:
First-principles (PBE-GGA) data for KMg2GaRu after structural relaxation, as listed in Alexandria via LeMat-Bulk.

Cell lengths 5.117, 5.117, 4.882 Å; angles 90.00, 90.00, 90.00 degrees
Element x y z (fractional)
Ru: 0.000 0.000 0.000
K: 0.500 0.500 0.500
Mg: 0.000 0.500 0.000
Mg: 0.500 0.000 0.000
Ga: 0.000 0.000 0.500

Energy of formation   -9 kJ/mol of formula units

---

Entry 3:
First-principles (PBE-GGA) data for KMgGaS3 after structural relaxation, as listed in Alexandria via LeMat-Bulk.

Cell lengths 3.792, 8.456, 10.375 Å; angles 108.90, 90.00, 90.00 degrees
Element x y z (fractional)
K: 0.250 0.219 0.208
K: 0.750 0.781 0.792
Mg: 0.250 0.637 0.100
Mg: 0.750 0.363 0.900
Ga: 0.250 0.100 0.627
Ga: 0.750 0.900 0.373
S: 0.750 0.887 0.158
S: 0.250 0.113 0.842
S: 0.250 0.815 0.472
S: 0.750 0.185 0.528
S: 0.750 0.473 0.153
S: 0.250 0.527 0.847

E_form (uncorrected)   -1.05 eV per atom

---

Entry 4:
First-principles (PBE-GGA) data for KMgGaSb2 after structural relaxation, as listed in Alexandria via LeMat-Bulk.

Cell lengths 4.487, 4.487, 8.348 Å; angles 105.59, 105.59, 90.00 degrees
Element x y z (fractional)
K: 0.000 0.000 0.000
Mg: 0.250 0.750 0.500
Ga: 0.750 0.250 0.500
Sb: 0.636 0.636 0.273
Sb: 0.364 0.364 0.727

E_form (uncorrected)   -0.37 eV per atom

---

Entry 5:
First-principles (PBE-GGA) data for K2MgGaSe4 after structural relaxation, as listed in Alexandria via LeMat-Bulk.

Cell lengths 6.982, 6.632, 6.632 Å; angles 73.91, 58.24, 58.24 degrees
Element x y z (fractional)
K: 0.000 0.500 0.500
K: 0.500 0.500 0.500
Mg: 0.000 0.000 0.000
Ga: 0.500 0.000 0.000
Se: 0.104 0.326 0.000
Se: 0.896 0.000 0.674
Se: 0.569 0.000 0.326
Se: 0.431 0.674 0.000

E_form (uncorrected)   -0.92 eV per atom

---

Entry 6:
First-principles (PBE-GGA) data for K2Mg3GaSn4 after structural relaxation, as listed in Alexandria via LeMat-Bulk.

Cell lengths 4.773, 4.773, 12.703 Å; angles 90.00, 90.00, 90.00 degrees
Element x y z (fractional)
K: 0.500 0.000 0.255
K: 0.000 0.500 0.745
Mg: 0.000 0.000 0.500
Mg: 0.500 0.000 0.859
Mg: 0.000 0.500 0.141
Ga: 0.500 0.500 0.500
Sn: 0.500 0.500 0.000
Sn: 0.000 0.000 0.000
Sn: 0.500 0.000 0.632
Sn: 0.000 0.500 0.368

Energy of formation   -185 kJ/mol of formula units